18
Lattice="8.2994 0.0000 0.0000 3.0373 8.3123 0.0000 1.1147 0.5804 10.3267" Properties=species:S:1:pos:R:3 comment="LiTa2Te4Br10O | Alexandria | GGA-PBE | optimized geometry" magnetic_moment_mub_per_fu=0.97 spacegroup="P1 (1)" e_above_lowest_polymorph_mev_per_atom=3.0 e_tot_ev_per_atom=-4.2072 pbc="T T T"
Li 0.0000 0.0000 0.0000
Ta 3.5884 7.9246 6.7196
Ta 5.5685 8.3961 3.4904
Te 5.9328 3.7024 9.8755
Te 7.6257 5.6886 8.9819
Te 6.7565 2.2762 1.3544
Te 8.4698 4.2516 0.4066
Br 1.2743 2.3295 3.1451
Br 3.5602 7.2488 2.2442
Br 2.4432 0.7170 8.1525
Br 4.7741 5.6726 7.1627
Br 3.6520 0.3840 1.1675
Br 4.3383 1.3158 4.6253
Br 6.6193 6.1731 3.7483
Br 7.7351 1.8193 6.5619
Br 10.6319 7.6001 9.1444
Br 10.0120 6.6936 5.6980
O 4.5642 8.1632 5.1348